Density functional theory data (PBEsol) for an optimized crystal structure of Co5Ir.

abc: 4.022 2.543 12.970
angles: 90.00 90.00 90.00
Space group Amm2 (No. 38)
Symmetry-distinct sites (fractional):
Co1 0.000 0.000 0.000
Co2 0.000 0.000 0.325
Co3 0.000 0.000 0.663
Co4 0.500 0.000 0.113
Co5 0.500 0.000 0.771
Ir1 0.500 0.000 0.442

Computed properties:
Total magnetic moment   7.8 μB per formula unit
Final energy   -8.060 eV per atom
E_form   0.025 eV/atom
DOS(E_F)   13.7 states/eV/cell
Theoretical density   12.19 g/cm³

Density functional theory data (PBEsol) for an optimized crystal structure of CoIr.

abc: 3.616 3.616 7.414
angles: 90.00 90.00 90.00
Space group I4_1/amd (No. 141, origin choice 2)
Symmetry-distinct sites (fractional):
Co1 0.000 0.250 0.375
Ir1 0.000 0.250 0.875

Computed properties:
Total magnetic moment   0.8 μB per formula unit
Final energy   -8.786 eV per atom
E_form   -0.006 eV/atom
DOS(E_F)   9.4 states/eV/cell
Theoretical density   17.21 g/cm³

Density functional theory data (PBEsol) for an optimized crystal structure of CoIr2.

abc: 3.689 11.224 3.722
angles: 90.00 90.00 90.00
Space group Cmcm (No. 63)
Symmetry-distinct sites (fractional):
Co1 0.000 0.081 0.250
Ir1 0.000 0.248 0.750
Ir2 0.000 0.418 0.250

Computed properties:
Total magnetic moment   0.8 μB per formula unit
Final energy   -9.104 eV per atom
E_form   0.024 eV/atom
DOS(E_F)   14.6 states/eV/cell
Theoretical density   19.11 g/cm³

Density functional theory data (PBEsol) for an optimized crystal structure of CoIr.

abc: 2.6339 2.6339 12.3984
angles: 90.00 90.00 120.00
Space group R-3m (No. 166, hexagonal axes)
Symmetry-distinct sites (fractional):
Co1 0.0000 0.0000 0.0000
Ir1 0.0000 0.0000 0.5000

Computed properties:
Total magnetic moment   1.5 μB per formula unit
Final energy   -8.732 eV per atom
E_form   0.048 eV/atom
DOS(E_F)   8.4 states/eV/cell
Theoretical density   16.80 g/cm³

Density functional theory data (PBEsol) for an optimized crystal structure of Co5Ir4.

abc: 7.667 7.667 3.683
angles: 90.00 90.00 90.00
Space group I4/mmm (No. 139)
Symmetry-distinct sites (fractional):
Co1 0.000 0.000 0.000
Co2 0.164 0.164 0.500
Ir1 0.000 0.324 0.000

Computed properties:
Total magnetic moment   6.7 μB per formula unit
Final energy   -8.612 eV per atom
E_form   0.052 eV/atom
DOS(E_F)   25.6 states/eV/cell
Theoretical density   16.31 g/cm³

Density functional theory data (PBEsol) for an optimized crystal structure of CoIr2.

abc: 2.666 2.666 10.856
angles: 90.00 90.00 90.00
Space group I4/mmm (No. 139)
Symmetry-distinct sites (fractional):
Co1 0.000 0.000 0.000
Ir1 0.000 0.000 0.338

Computed properties:
Total magnetic moment   1.2 μB per formula unit
Final energy   -9.093 eV per atom
E_form   0.035 eV/atom
DOS(E_F)   6.7 states/eV/cell
Theoretical density   19.09 g/cm³

Density functional theory data (PBEsol) for an optimized crystal structure of CoIr.

abc: 2.6472 2.6472 8.2328
angles: 90.00 90.00 120.00
Space group P-3m1 (No. 164)
Symmetry-distinct sites (fractional):
Co1 0.3333 0.6667 0.3866
Ir1 0.3333 0.6667 0.8633

Computed properties:
Total magnetic moment   1.6 μB per formula unit
Final energy   -8.709 eV per atom
E_form   0.072 eV/atom
DOS(E_F)   4.0 states/eV/cell
Theoretical density   16.69 g/cm³

Density functional theory data (PBEsol) for an optimized crystal structure of CoIr2.

abc: 2.665 3.674 7.856
angles: 90.00 90.00 90.00
Space group Immm (No. 71)
Symmetry-distinct sites (fractional):
Co1 0.000 0.000 0.000
Ir1 0.000 0.000 0.336

Computed properties:
Total magnetic moment   0.7 μB per formula unit
Final energy   -9.124 eV per atom
E_form   0.004 eV/atom
DOS(E_F)   6.9 states/eV/cell
Theoretical density   19.14 g/cm³

Density functional theory data (PBEsol) for an optimized crystal structure of CoIr.

abc: 9.405 2.649 6.146
angles: 90.00 104.79 90.00
Space group Cm (No. 8)
Symmetry-distinct sites (fractional):
Co1 0.000 0.000 0.000
Co2 0.058 0.000 0.605
Co3 0.165 0.500 0.331
Ir1 0.217 0.500 0.940
Ir2 0.337 0.000 0.665
Ir3 0.392 0.000 0.276

Computed properties:
Total magnetic moment   1.6 μB per formula unit
Final energy   -8.753 eV per atom
E_form   0.028 eV/atom
DOS(E_F)   15.0 states/eV/cell
Theoretical density   16.90 g/cm³

Density functional theory data (PBEsol) for an optimized crystal structure of CoIr2.

abc: 2.6642 2.6642 6.3429
angles: 90.00 90.00 120.00
Space group P-3m1 (No. 164)
Symmetry-distinct sites (fractional):
Co1 0.0000 0.0000 0.0000
Ir1 0.3333 0.6667 0.3221

Computed properties:
Total magnetic moment   1.6 μB per formula unit
Final energy   -9.092 eV per atom
E_form   0.036 eV/atom
DOS(E_F)   3.2 states/eV/cell
Theoretical density   18.88 g/cm³

Density functional theory data (PBEsol) for an optimized crystal structure of Co5Ir.

abc: 9.147 2.541 5.921
angles: 90.00 104.76 90.00
Space group Cm (No. 8)
Symmetry-distinct sites (fractional):
Co1 0.000 0.000 0.000
Co2 0.053 0.000 0.598
Co3 0.167 0.500 0.336
Co4 0.337 0.000 0.656
Co5 0.392 0.000 0.279
Ir1 0.221 0.500 0.937

Computed properties:
Total magnetic moment   8.1 μB per formula unit
Final energy   -8.064 eV per atom
E_form   0.020 eV/atom
DOS(E_F)   13.0 states/eV/cell
Theoretical density   12.15 g/cm³

Density functional theory data (PBEsol) for an optimized crystal structure of Co5Ir.

abc: 4.3409 4.3409 4.0509
angles: 90.00 90.00 120.00
Space group P-62m (No. 189)
Symmetry-distinct sites (fractional):
Co1 0.0000 0.6581 0.0000
Co2 0.3333 0.6667 0.5000
Ir1 0.0000 0.0000 0.5000

Computed properties:
Total magnetic moment   8.0 μB per formula unit
Final energy   -8.071 eV per atom
E_form   0.013 eV/atom
DOS(E_F)   7.8 states/eV/cell
Theoretical density   12.23 g/cm³

Number 1: calculated volume 66.31 Å³/f.u.. Number 2: calculated volume 24.24 Å³/f.u.. Number 3: calculated volume 38.53 Å³/f.u.. Number 4: calculated volume 24.83 Å³/f.u.. Number 5: calculated volume 108.27 Å³/f.u.. Number 6: calculated volume 38.57 Å³/f.u.. Number 7: calculated volume 24.98 Å³/f.u.. Number 8: calculated volume 38.46 Å³/f.u.. Number 9: calculated volume 24.68 Å³/f.u.. Number 10: calculated volume 38.99 Å³/f.u.. Number 11: calculated volume 66.54 Å³/f.u.. Number 12: calculated volume 66.11 Å³/f.u..